Compound: NbCoO3
Source: the Alexandria database
Functional: GGA+U
Structure: relaxed

Unit cell a=3.6359 b=3.6359 c=3.6359 alpha=90.00 beta=90.00 gamma=90.00
Space group Pm-3m (No. 221)
Unique sites:
Nb: 0.0000 0.0000 0.0000 [1 per cell]
Co: 0.5000 0.5000 0.5000 [1 per cell]
O: 0.0000 0.5000 0.5000 [3 per cell]

Results
Energy   -6.74 eV per atom
Crystal system   cubic
Size of the total moment   0.57 Bohr magnetons per cell